The following is a PBE calculation of an optimized crystal structure of NaScSbAu, from the Alexandria database.

## Properties
density of states at the Fermi level	1.29	states/eV/cell
energy relative to the elements, uncorrected	-0.542	eV per atom
total magnetic moment	0.0	Bohr magnetons per cell
final energy	-4.30	eV/atom
volume	88	Å³ per cell

a b c (Å): 4.995 4.995 4.995
angles (deg): 60.00 60.00 60.00
Element x y z (fractional)
Sc  0.750  0.750  0.750
Sb  0.500  0.500  0.500
Au  0.000  0.000  0.000
Na  0.250  0.250  0.250

The following is a PBE calculation of an optimized crystal structure of Na2SbAuSe4, from the Alexandria database.

## Properties
energy relative to the elements, uncorrected	-0.461	eV per atom
total magnetic moment	0.0	Bohr magnetons per cell
final energy	-3.46	eV/atom
volume	252	Å³ per cell

a b c (Å): 6.667 6.664 7.379
angles (deg): 116.82 116.83 90.04
Element x y z (fractional)
Na  0.486  0.986  0.971
Na  0.235  0.236  0.471
Sb  0.736  0.736  0.472
Au  0.986  0.486  0.972
Se  0.657  0.624  0.726
Se  0.848  0.403  0.217
Se  0.370  0.815  0.217
Se  0.069  0.102  0.727

The following is a PBE calculation of an optimized crystal structure of NaSnSbAu, from the Alexandria database.

## Properties
density of states at the Fermi level	2.34	states/eV/cell
energy relative to the elements, uncorrected	-0.087	eV per atom
total magnetic moment	0.0	Bohr magnetons per cell
final energy	-3.27	eV/atom
volume	99	Å³ per cell

a b c (Å): 5.192 5.192 5.192
angles (deg): 60.00 60.00 60.00
Element x y z (fractional)
Sb  0.000  0.000  0.000
Au  0.500  0.500  0.500
Sn  0.250  0.250  0.250
Na  0.750  0.750  0.750

The following is a PBE calculation of an optimized crystal structure of NaSn2SbAu, from the Alexandria database.

## Properties
density of states at the Fermi level	2.97	states/eV/cell
energy relative to the elements, uncorrected	-0.056	eV per atom
total magnetic moment	0.0	Bohr magnetons per cell
final energy	-3.40	eV/atom
volume	166	Å³ per cell

a b c (Å): 5.317 5.316 5.869
angles (deg): 90.00 90.00 90.00
Element x y z (fractional)
Na  0.000  0.000  0.498
Sn  0.000  0.500  0.925
Sn  0.500  0.000  0.925
Sb  0.500  0.500  0.643
Au  0.000  0.000  0.010

What is the volume in the second record? 252 Å³ per cell